Compound: MoPF2
Source: Alexandria
Functional: GGA+U
Structure: optimized geometry

Values from the calculation:
For the calculated total energy, the calculation gives -4.73 eV per atom. As for the polymorph energy (0 for the lowest one): 0.632 eV per formula unit.

abc: 2.7422 2.7422 31.2309
angles: 90.00 90.00 120.00
Closest atoms and distances in Å follow each position.
Space group R-3m (No. 166, hexagonal axes)
Symmetry-distinct sites (fractional):
Mo: 0.0000 0.0000 0.0000 [3 per cell]  6 F 2.19
P: 0.0000 0.0000 0.5000 [3 per cell]  6 P 2.74
F: 0.0000 0.0000 0.3820 [6 per cell]  3 Mo 2.19